Entry 1:
# Zn2AsH3O6, single point on PBEsol structure, DFT meta-GGA SCAN
data_Zn2AsH3O6
_symmetry_space_group_name_H-M 'P 1 21/c 1'
_symmetry_Int_Tables_number 14
_cell_length_a 12.646
_cell_length_b 7.940
_cell_length_c 10.202
_cell_angle_alpha 90.00
_cell_angle_beta 103.94
_cell_angle_gamma 90.00
loop_
_symmetry_equiv_pos_as_xyz
'x,y,z'
'-x,-y,-z'
'-x,y+1/2,-z+1/2'
'x,-y+1/2,z+1/2'
loop_
_atom_site_label
_atom_site_type_symbol
_atom_site_fract_x
_atom_site_fract_y
_atom_site_fract_z
Zn1 Zn 0.007 0.240 0.443
Zn2 Zn 0.252 0.167 0.962
Zn3 Zn 0.359 0.695 0.627
Zn4 Zn 0.403 0.045 0.388
As1 As 0.149 0.053 0.222
As2 As 0.384 0.081 0.714
H1 H 0.051 0.014 0.715
H2 H 0.074 0.705 0.844
H3 H 0.160 0.665 0.445
H4 H 0.161 0.552 0.169
H5 H 0.295 0.613 0.382
H6 H 0.481 0.741 0.969
O1 O 0.044 0.591 0.707
O2 O 0.081 0.532 0.139
O3 O 0.086 0.723 0.428
O4 O 0.133 0.186 0.349
O5 O 0.138 0.159 0.073
O6 O 0.269 0.556 0.761
O7 O 0.272 0.579 0.466
O8 O 0.313 0.604 0.217
O9 O 0.342 0.217 0.819
O10 O 0.359 0.164 0.555
O11 O 0.446 0.661 0.018
O12 O 0.477 0.545 0.735
# **Magnetic moment**: 0.00 μB/cell

Entry 2:
# Zn2AsHO5, single point on PBEsol structure, DFT meta-GGA SCAN
data_Zn2AsHO5
_symmetry_space_group_name_H-M 'P n n m'
_symmetry_Int_Tables_number 58
_cell_length_a 8.323
_cell_length_b 8.508
_cell_length_c 6.080
_cell_angle_alpha 90.00
_cell_angle_beta 90.00
_cell_angle_gamma 90.00
loop_
_symmetry_equiv_pos_as_xyz
'x,y,z'
'-x,-y,-z'
'-x,-y,z'
'x,y,-z'
'x+1/2,-y+1/2,-z+1/2'
'-x+1/2,y+1/2,z+1/2'
'-x+1/2,y+1/2,-z+1/2'
'x+1/2,-y+1/2,z+1/2'
loop_
_atom_site_label
_atom_site_type_symbol
_atom_site_fract_x
_atom_site_fract_y
_atom_site_fract_z
Zn1 Zn 0.000 0.000 0.248
Zn2 Zn 0.136 0.365 0.000
As1 As 0.250 0.246 0.500
H1 H 0.215 0.081 0.000
O1 O 0.070 0.147 0.500
O2 O 0.104 0.605 0.000
O3 O 0.108 0.129 0.000
O4 O 0.229 0.867 0.225
# **Magnetic moment**: 0.00 μB/cell

Entry 3:
# As2HOs, single point on PBEsol structure, DFT meta-GGA SCAN
data_As2HOs
_symmetry_space_group_name_H-M 'I -4 2 d'
_symmetry_Int_Tables_number 122
_symmetry_space_group_name_Hall 'I -4 2bw'
_cell_length_a 5.192
_cell_length_b 5.192
_cell_length_c 9.291
_cell_angle_alpha 90.00
_cell_angle_beta 90.00
_cell_angle_gamma 90.00
loop_
_atom_site_label
_atom_site_type_symbol
_atom_site_fract_x
_atom_site_fract_y
_atom_site_fract_z
As1 As 0.195 0.250 0.125
H1 H 0.000 0.000 0.000
Os1 Os 0.000 0.000 0.500
# **Magnetic moment**: 0.00 μB/cell

Entry 4:
# As2HOsSe, single point on PBEsol structure, DFT meta-GGA SCAN
data_As2HOsSe
_symmetry_space_group_name_H-M 'P 4/m m m'
_symmetry_Int_Tables_number 123
_symmetry_space_group_name_Hall '-P 4 2'
_cell_length_a 3.874
_cell_length_b 3.874
_cell_length_c 4.639
_cell_angle_alpha 90.00
_cell_angle_beta 90.00
_cell_angle_gamma 90.00
loop_
_atom_site_label
_atom_site_type_symbol
_atom_site_fract_x
_atom_site_fract_y
_atom_site_fract_z
As1 As 0.000 0.500 0.000
H1 H 0.000 0.000 0.000
Os1 Os 0.500 0.500 0.500
Se1 Se 0.000 0.000 0.500
# **Magnetic moment**: 0.00 μB/cell

Entry 5:
# AsPH3, single point on PBEsol structure, DFT meta-GGA SCAN
data_AsPH3
_symmetry_space_group_name_H-M 'P m -3 m'
_symmetry_Int_Tables_number 221
_symmetry_space_group_name_Hall '-P 4 2 3'
_cell_length_a 3.600
_cell_length_b 3.600
_cell_length_c 3.600
_cell_angle_alpha 90.00
_cell_angle_beta 90.00
_cell_angle_gamma 90.00
loop_
_atom_site_label
_atom_site_type_symbol
_atom_site_fract_x
_atom_site_fract_y
_atom_site_fract_z
As1 As 0.000 0.000 0.000
P1 P 0.500 0.500 0.500
H1 H 0.000 0.000 0.500
# **Magnetic moment**: 0.03 μB/cell

Entry 6:
# AsH2PdPb, single point on PBEsol structure, DFT meta-GGA SCAN
data_AsH2PdPb
_symmetry_space_group_name_H-M 'P 4/m m m'
_symmetry_Int_Tables_number 123
_symmetry_space_group_name_Hall '-P 4 2'
_cell_length_a 3.851
_cell_length_b 3.851
_cell_length_c 4.994
_cell_angle_alpha 90.00
_cell_angle_beta 90.00
_cell_angle_gamma 90.00
loop_
_atom_site_label
_atom_site_type_symbol
_atom_site_fract_x
_atom_site_fract_y
_atom_site_fract_z
As1 As 0.000 0.000 0.000
H1 H 0.000 0.500 0.000
Pd1 Pd 0.000 0.000 0.500
Pb1 Pb 0.500 0.500 0.500
# **Magnetic moment**: 0.00 μB/cell

Entry 7:
# AsH2PdRh, single point on PBEsol structure, DFT meta-GGA SCAN
data_AsH2PdRh
_symmetry_space_group_name_H-M 'P 4/m m m'
_symmetry_Int_Tables_number 123
_symmetry_space_group_name_Hall '-P 4 2'
_cell_length_a 3.423
_cell_length_b 3.423
_cell_length_c 5.273
_cell_angle_alpha 90.00
_cell_angle_beta 90.00
_cell_angle_gamma 90.00
loop_
_atom_site_label
_atom_site_type_symbol
_atom_site_fract_x
_atom_site_fract_y
_atom_site_fract_z
As1 As 0.000 0.000 0.000
H1 H 0.000 0.500 0.500
Pd1 Pd 0.500 0.500 0.000
Rh1 Rh 0.500 0.500 0.500
# **Magnetic moment**: 0.00 μB/cell

Entry 8:
# AsHPt2, single point on PBEsol structure, DFT meta-GGA SCAN
data_AsHPt2
_symmetry_space_group_name_H-M 'I -4 2 d'
_symmetry_Int_Tables_number 122
_symmetry_space_group_name_Hall 'I -4 2bw'
_cell_length_a 4.912
_cell_length_b 4.912
_cell_length_c 9.326
_cell_angle_alpha 90.00
_cell_angle_beta 90.00
_cell_angle_gamma 90.00
loop_
_atom_site_label
_atom_site_type_symbol
_atom_site_fract_x
_atom_site_fract_y
_atom_site_fract_z
As1 As 0.000 0.000 0.000
H1 H 0.000 0.000 0.500
Pt1 Pt 0.151 0.250 0.625
# **Magnetic moment**: 0.00 μB/cell

Entry 9:
# As2HPt, single point on PBEsol structure, DFT meta-GGA SCAN
data_As2HPt
_symmetry_space_group_name_H-M 'F m -3 m'
_symmetry_Int_Tables_number 225
_symmetry_space_group_name_Hall '-F 4 2 3'
_cell_length_a 6.038
_cell_length_b 6.038
_cell_length_c 6.038
_cell_angle_alpha 90.00
_cell_angle_beta 90.00
_cell_angle_gamma 90.00
loop_
_atom_site_label
_atom_site_type_symbol
_atom_site_fract_x
_atom_site_fract_y
_atom_site_fract_z
As1 As 0.250 0.250 0.250
H1 H 0.000 0.000 0.000
Pt1 Pt 0.000 0.000 0.500
# **Magnetic moment**: 0.00 μB/cell

Entry 10:
# RbAsH2, single point on PBEsol structure, DFT meta-GGA SCAN
data_RbAsH2
_symmetry_space_group_name_H-M 'F m -3 m'
_symmetry_Int_Tables_number 225
_symmetry_space_group_name_Hall '-F 4 2 3'
_cell_length_a 6.270
_cell_length_b 6.270
_cell_length_c 6.270
_cell_angle_alpha 90.00
_cell_angle_beta 90.00
_cell_angle_gamma 90.00
loop_
_atom_site_label
_atom_site_type_symbol
_atom_site_fract_x
_atom_site_fract_y
_atom_site_fract_z
Rb1 Rb 0.000 0.000 0.000
As1 As 0.000 0.000 0.500
H1 H 0.250 0.250 0.250
# **Magnetic moment**: 2.16 μB/cell

Entry 11:
# RbAsH, single point on PBEsol structure, DFT meta-GGA SCAN
data_RbAsH
_symmetry_space_group_name_H-M 'P 1'
_symmetry_Int_Tables_number 1
_cell_length_a 5.196
_cell_length_b 6.343
_cell_length_c 6.372
_cell_angle_alpha 73.03
_cell_angle_beta 68.96
_cell_angle_gamma 66.58
loop_
_symmetry_equiv_pos_as_xyz
'x,y,z'
loop_
_atom_site_label
_atom_site_type_symbol
_atom_site_fract_x
_atom_site_fract_y
_atom_site_fract_z
Rb1 Rb 0.000 0.000 0.000
Rb2 Rb 0.436 0.522 0.547
As1 As 0.717 0.613 0.920
As2 As 0.741 0.921 0.589
H1 H 0.428 0.000 0.555
H2 H 0.593 0.763 0.112
# **Magnetic moment**: 0.00 μB/cell

Entry 12:
# Rb3AsH, single point on PBEsol structure, DFT meta-GGA SCAN
data_Rb3AsH
_symmetry_space_group_name_H-M 'P m -3 m'
_symmetry_Int_Tables_number 221
_symmetry_space_group_name_Hall '-P 4 2 3'
_cell_length_a 5.453
_cell_length_b 5.453
_cell_length_c 5.453
_cell_angle_alpha 90.00
_cell_angle_beta 90.00
_cell_angle_gamma 90.00
loop_
_atom_site_label
_atom_site_type_symbol
_atom_site_fract_x
_atom_site_fract_y
_atom_site_fract_z
Rb1 Rb 0.000 0.000 0.500
As1 As 0.500 0.500 0.500
H1 H 0.000 0.000 0.000
# **Magnetic moment**: 1.00 μB/cell

Entry 13:
# ReAsHSe2, single point on PBEsol structure, DFT meta-GGA SCAN
data_ReAsHSe2
_symmetry_space_group_name_H-M 'P 4/m m m'
_symmetry_Int_Tables_number 123
_symmetry_space_group_name_Hall '-P 4 2'
_cell_length_a 4.852
_cell_length_b 4.852
_cell_length_c 4.767
_cell_angle_alpha 90.00
_cell_angle_beta 90.00
_cell_angle_gamma 90.00
loop_
_atom_site_label
_atom_site_type_symbol
_atom_site_fract_x
_atom_site_fract_y
_atom_site_fract_z
Re1 Re 0.000 0.000 0.000
As1 As 0.000 0.000 0.500
H1 H 0.500 0.500 0.500
Se1 Se 0.000 0.500 0.000
# **Magnetic moment**: 0.82 μB/cell

Entry 14:
# As3HRh, single point on PBEsol structure, DFT meta-GGA SCAN
data_As3HRh
_symmetry_space_group_name_H-M 'P m -3 m'
_symmetry_Int_Tables_number 221
_symmetry_space_group_name_Hall '-P 4 2 3'
_cell_length_a 4.728
_cell_length_b 4.728
_cell_length_c 4.728
_cell_angle_alpha 90.00
_cell_angle_beta 90.00
_cell_angle_gamma 90.00
loop_
_atom_site_label
_atom_site_type_symbol
_atom_site_fract_x
_atom_site_fract_y
_atom_site_fract_z
As1 As 0.000 0.000 0.500
H1 H 0.500 0.500 0.500
Rh1 Rh 0.000 0.000 0.000
# **Magnetic moment**: 0.00 μB/cell

Entry 15:
# As2HS, single point on PBEsol structure, DFT meta-GGA SCAN
data_As2HS
_symmetry_space_group_name_H-M 'F m -3 m'
_symmetry_Int_Tables_number 225
_symmetry_space_group_name_Hall '-F 4 2 3'
_cell_length_a 6.129
_cell_length_b 6.129
_cell_length_c 6.129
_cell_angle_alpha 90.00
_cell_angle_beta 90.00
_cell_angle_gamma 90.00
loop_
_atom_site_label
_atom_site_type_symbol
_atom_site_fract_x
_atom_site_fract_y
_atom_site_fract_z
As1 As 0.250 0.250 0.250
H1 H 0.000 0.000 0.000
S1 S 0.000 0.000 0.500
# **Magnetic moment**: 0.00 μB/cell

Entry 16:
# Sb3AsH, single point on PBEsol structure, DFT meta-GGA SCAN
data_Sb3AsH
_symmetry_space_group_name_H-M 'P m -3 m'
_symmetry_Int_Tables_number 221
_symmetry_space_group_name_Hall '-P 4 2 3'
_cell_length_a 5.366
_cell_length_b 5.366
_cell_length_c 5.366
_cell_angle_alpha 90.00
_cell_angle_beta 90.00
_cell_angle_gamma 90.00
loop_
_atom_site_label
_atom_site_type_symbol
_atom_site_fract_x
_atom_site_fract_y
_atom_site_fract_z
Sb1 Sb 0.000 0.000 0.500
As1 As 0.000 0.000 0.000
H1 H 0.500 0.500 0.500
# **Magnetic moment**: 0.68 μB/cell

Entry 17:
# Sc2AsH, single point on PBEsol structure, DFT meta-GGA SCAN
data_Sc2AsH
_symmetry_space_group_name_H-M 'R -3 m'
_symmetry_Int_Tables_number 166
_symmetry_space_group_name_Hall '-R 3 2"'
_cell_length_a 3.9390
_cell_length_b 3.9390
_cell_length_c 19.1318
_cell_angle_alpha 90.00
_cell_angle_beta 90.00
_cell_angle_gamma 120.00
loop_
_atom_site_label
_atom_site_type_symbol
_atom_site_fract_x
_atom_site_fract_y
_atom_site_fract_z
Sc1 Sc 0.0000 0.0000 0.0983
As1 As 0.0000 0.0000 0.5000
H1 H 0.0000 0.0000 0.0000
# **Magnetic moment**: 1.79 μB/cell

Entry 18:
# ScAsHSe2, single point on PBEsol structure, DFT meta-GGA SCAN
data_ScAsHSe2
_symmetry_space_group_name_H-M 'P 4/m m m'
_symmetry_Int_Tables_number 123
_symmetry_space_group_name_Hall '-P 4 2'
_cell_length_a 5.051
_cell_length_b 5.051
_cell_length_c 5.108
_cell_angle_alpha 90.00
_cell_angle_beta 90.00
_cell_angle_gamma 90.00
loop_
_atom_site_label
_atom_site_type_symbol
_atom_site_fract_x
_atom_site_fract_y
_atom_site_fract_z
Sc1 Sc 0.000 0.000 0.000
As1 As 0.000 0.000 0.500
H1 H 0.500 0.500 0.500
Se1 Se 0.000 0.500 0.000
# **Magnetic moment**: 0.78 μB/cell

Entry 19:
# YAs2HSe, single point on PBEsol structure, DFT meta-GGA SCAN
data_YAs2HSe
_symmetry_space_group_name_H-M 'P 4/m m m'
_symmetry_Int_Tables_number 123
_symmetry_space_group_name_Hall '-P 4 2'
_cell_length_a 5.421
_cell_length_b 5.421
_cell_length_c 5.343
_cell_angle_alpha 90.00
_cell_angle_beta 90.00
_cell_angle_gamma 90.00
loop_
_atom_site_label
_atom_site_type_symbol
_atom_site_fract_x
_atom_site_fract_y
_atom_site_fract_z
Y1 Y 0.000 0.000 0.000
As1 As 0.000 0.500 0.000
H1 H 0.500 0.500 0.500
Se1 Se 0.000 0.000 0.500
# **Magnetic moment**: 0.38 μB/cell

Entry 20:
# ZnAs2HSe, single point on PBEsol structure, DFT meta-GGA SCAN
data_ZnAs2HSe
_symmetry_space_group_name_H-M 'P 4/m m m'
_symmetry_Int_Tables_number 123
_symmetry_space_group_name_Hall '-P 4 2'
_cell_length_a 4.768
_cell_length_b 4.768
_cell_length_c 4.925
_cell_angle_alpha 90.00
_cell_angle_beta 90.00
_cell_angle_gamma 90.00
loop_
_atom_site_label
_atom_site_type_symbol
_atom_site_fract_x
_atom_site_fract_y
_atom_site_fract_z
Zn1 Zn 0.000 0.000 0.000
As1 As 0.000 0.500 0.000
H1 H 0.500 0.500 0.500
Se1 Se 0.000 0.000 0.500
# **Magnetic moment**: 1.41 μB/cell

Computed Fermi-level density of states, in the same sequence as the records: 0.00 0.00 0.37 0.61 0.47 0.23 0.35 0.35 0.28 0.44 0.00 0.75 0.76 0.62 0.37 0.65 0.80 0.77 0.81 0.56 states/eV/atom.
Computed calculated total energy, in the same sequence as the records: -0.6820 -0.7765 -2.0846 -1.9188 -0.5256 -1.9801 -1.3595 -3.0244 -2.0833 -0.8208 -1.1139 -1.2802 -1.9103 -1.3659 -0.9197 -1.9045 -1.0075 -1.1253 -1.3031 -1.0558 Ry per atom.